## LaSm2Er (PBE-GGA)

Data for crystalline LaSm2Er at its relaxed geometry.

Structure (POSCAR):
```
LaSm2Er
1.0
3.6266 0.0000 0.0000
1.8133 3.1407 0.0000
1.8133 1.0469 11.8592
La Sm Er
1 2 1
Cartesian
3.6266 2.0938 5.9296
5.4399 3.1407 8.9819
1.8133 1.0469 2.8773
0.0000 0.0000 0.0000
```

## Properties
Distance to the lowest polymorph of the same formula in meV/atom: 0
E_form in eV per atom: 0.022
SG: No. 166
E in eV per atom: -4.71


## La6SmEr3 (PBE-GGA)

Data for crystalline La6SmEr3 at its relaxed geometry.

Structure (POSCAR):
```
La6SmEr3
1.0
6.5057 0.0000 0.0000
0.0000 11.0568 -1.8860
0.0000 -4.3058 10.3572
La Sm Er
12 2 6
Cartesian
0.3233 5.1781 5.2213
3.5761 3.9341 6.2126
2.3508 1.6243 8.6533
5.6036 8.0727 3.5143
2.4158 10.5921 -1.5157
4.3496 0.1039 6.8429
1.0967 6.6472 1.6282
5.6687 -3.8411 9.9868
2.3508 -1.3216 4.9568
5.6036 5.1268 -0.1822
0.3233 2.8169 2.2585
3.5761 1.5729 3.2499
0.5741 -1.4420 8.0749
3.8270 8.1931 0.3962
3.0709 7.4150 5.5893
6.3238 3.7937 8.4753
0.5925 1.6407 5.6181
3.8454 5.1103 2.8530
6.3238 -0.6639 2.8818
3.0709 2.9573 -0.0041
```

## Properties
E_form in eV per atom: 0.126
SG: No. 36
E in eV per atom: -4.67


## La4Sm5Er2 (PBE-GGA)

Data for crystalline La4Sm5Er2 at its relaxed geometry.

Structure (POSCAR):
```
La4Sm5Er2
1.0
3.5206 0.0000 -0.6648
-0.2236 11.7833 -1.1842
-0.0974 0.2675 9.1379
La Sm Er
4 5 2
Cartesian
1.1463 2.6109 6.0701
3.1264 8.9323 6.9019
2.0532 9.4400 1.2188
0.0731 3.1186 0.3870
2.9972 5.6533 6.2178
0.2023 6.3976 1.0711
2.6205 11.0898 4.2226
1.7603 0.0000 -0.3324
0.5791 0.9611 3.0663
2.3990 4.3785 3.0500
0.8005 7.6723 4.2389
```

## Properties
Distance to the lowest polymorph of the same formula in meV/atom: 0
E_form in eV per atom: 0.081
SG: No. 12
E in eV per atom: -4.69


## La3SmEr7 (PBE-GGA)

Data for crystalline La3SmEr7 at its relaxed geometry.

Structure (POSCAR):
```
La3SmEr7
1.0
-3.4372 8.2143 0.5445
-7.2638 -6.3526 3.1594
3.6104 -2.4309 3.4087
La Sm Er
3 1 7
Cartesian
-5.4006 -6.3171 5.7001
-3.6319 -3.1763 1.5797
-1.6901 5.7479 1.4125
-3.5453 -0.2846 3.5563
-5.8683 -0.0213 6.2093
-6.2865 1.8778 3.5229
-3.7951 3.1016 1.7535
-3.2955 -3.6708 5.3590
0.0866 2.8917 1.9766
-0.8041 -2.4470 3.5896
-1.2223 -0.5480 0.9032
```

## Properties
Distance to the lowest polymorph of the same formula in meV/atom: 0
E_form in eV per atom: 0.158
SG: No. 2
E in eV per atom: -4.52


## LaSm14Er (PBE-GGA)

Data for crystalline LaSm14Er at its relaxed geometry.

Structure (POSCAR):
```
LaSm14Er
1.0
7.2378 -0.8777 0.0000
-2.8618 6.7057 0.0000
0.0000 0.0000 11.7483
La Sm Er
1 14 1
Cartesian
4.2979 1.3298 5.8742
-2.4376 6.3872 0.0000
2.6070 2.5994 0.0000
0.6644 1.7684 5.8742
-1.0009 3.0421 0.0000
2.8632 4.6968 5.8742
1.1755 5.9406 0.0000
2.3526 0.5037 8.8149
2.3526 0.5037 2.9334
4.5486 3.4283 8.8149
4.5486 3.4283 2.9334
0.9224 3.8643 8.7848
0.9224 3.8643 2.9635
5.9775 0.0687 8.8423
5.9775 0.0687 2.9060
-0.7633 5.1301 5.8742
```

## Properties
E_form in eV per atom: 0.003
SG: No. 38
E in eV per atom: -4.72


## La3SmEr3 (PBE-GGA)

Data for crystalline La3SmEr3 at its relaxed geometry.

Structure (POSCAR):
```
La3SmEr3
1.0
5.8131 0.0000 0.0000
0.0000 9.7542 0.0000
0.0000 -4.8771 8.4474
La Sm Er
6 2 6
Cartesian
4.3598 3.5142 4.4531
4.3598 4.1407 0.8169
4.3598 6.9765 3.1775
1.4533 1.3629 3.9944
1.4533 0.7364 7.6306
1.4533 -2.0994 5.2699
1.4533 4.8771 2.8158
4.3598 0.0000 5.6316
1.4533 4.1990 6.5036
1.4533 2.0224 0.3846
1.4533 8.4100 1.5592
4.3598 0.6782 1.9438
4.3598 2.8547 8.0628
4.3598 -3.5328 6.8882
```

## Properties
Distance to the lowest polymorph of the same formula in meV/atom: 0
E_form in eV per atom: 0.038
SG: No. 176
E in eV per atom: -4.70


## La5SmEr3 (PBE-GGA)

Data for crystalline La5SmEr3 at its relaxed geometry.

Structure (POSCAR):
```
La5SmEr3
1.0
6.5702 0.0000 0.0000
-3.2851 10.2078 -4.9200
0.0000 -2.9891 11.0882
La Sm Er
10 2 6
Cartesian
2.6534 -2.2419 8.3162
2.1347 6.6641 -3.0393
4.5905 3.0657 -0.2773
1.1504 0.5545 9.2075
1.3054 5.6475 0.9014
3.9167 -0.7473 2.7721
-2.1347 5.1695 2.5048
5.4198 2.0491 3.6634
1.9796 1.5711 5.2668
-1.3054 4.1529 6.4455
5.6906 -2.2419 8.3162
0.8795 -0.7473 2.7721
0.0000 0.0000 0.0000
1.9009 2.3489 1.8153
0.0000 -1.4946 5.5441
1.3842 4.8697 4.3529
4.6692 0.8543 7.3594
-1.3842 6.3643 -1.1912
```

## Properties
E_form in eV per atom: 0.245
SG: No. 15
E in eV per atom: -4.54


## LaSm10Er6 (PBE-GGA)

Data for crystalline LaSm10Er6 at its relaxed geometry.

Structure (POSCAR):
```
LaSm10Er6
1.0
6.8724 0.0000 0.0000
0.0000 8.4727 -4.8917
0.0000 0.0000 9.7834
La Sm Er
1 10 6
Cartesian
3.4362 0.0000 0.0000
5.6394 6.1078 3.5264
5.6394 0.0000 2.7307
5.6394 2.3649 -1.3654
1.2330 2.3649 1.3654
1.2330 0.0000 7.0527
1.2330 6.1078 -3.5264
3.4362 2.8242 4.8917
3.4362 5.6485 0.0000
0.0000 5.6485 0.0000
0.0000 2.8242 4.8917
4.7471 3.1543 1.8211
4.7471 0.0000 6.1412
4.7471 5.3184 -3.0706
2.1253 5.3184 3.0706
2.1253 0.0000 3.6422
2.1253 3.1543 -1.8211
```

## Properties
E_form in eV per atom: 0.136
SG: No. 162
E in eV per atom: -4.54


## La3Sm2Er8 (PBE-GGA)

Data for crystalline La3Sm2Er8 at its relaxed geometry.

Structure (POSCAR):
```
La3Sm2Er8
1.0
-1.6693 -5.0880 -1.7369
4.1235 -3.2800 5.6453
-10.1037 2.1890 3.3705
La Sm Er
3 2 8
Cartesian
-0.8346 -2.5440 -0.8684
1.2372 -0.9841 1.6937
2.8863 -2.2959 3.9515
-4.7048 -2.2632 2.1215
-2.9448 -3.9157 5.1573
-0.6701 -1.4662 4.9191
-6.9795 -4.7128 2.3598
-3.8418 -4.9328 -0.0598
-3.8077 -1.2461 7.3387
-6.2553 -2.7943 5.1455
-7.9730 -1.4280 2.7940
0.3234 -4.7509 4.4849
-1.3943 -3.3846 2.1334
```

## Properties
Distance to the lowest polymorph of the same formula in meV/atom: 174
E_form in eV per atom: 0.260
SG: No. 12
E in eV per atom: -4.41


## La2Sm7Er2 (PBE-GGA)

Data for crystalline La2Sm7Er2 at its relaxed geometry.

Structure (POSCAR):
```
La2Sm7Er2
1.0
-2.1073 -1.4974 5.5881
-5.9895 -6.4245 0.3466
4.8487 -5.6832 4.6324
La Sm Er
2 7 2
Cartesian
1.4885 -6.5897 6.5144
-4.7366 -7.0154 4.0528
-3.6171 -4.4002 1.4819
-5.3707 -9.5974 6.8156
0.3690 -9.2048 9.0852
2.1226 -4.0077 3.7515
-1.2433 -5.5205 4.0990
0.0000 0.0000 0.0000
-2.0048 -8.0846 6.4682
-2.7592 -10.5589 8.8040
-0.4889 -3.0462 1.7631
```

## Properties
E_form in eV per atom: 0.151
SG: No. 12
E in eV per atom: -4.58


## La14SmEr (PBE-GGA)

Data for crystalline La14SmEr at its relaxed geometry.

Structure (POSCAR):
```
La14SmEr
1.0
-0.2220 -7.2690 0.6966
2.0023 0.1615 7.0240
-10.2899 0.5941 2.9196
La Sm Er
14 1 1
Cartesian
-3.9755 -2.3238 6.1145
-5.0904 -6.0479 2.9432
1.0603 -6.2704 5.0130
-4.0920 -5.9460 6.4411
0.1643 -2.6932 1.1271
-4.9738 -2.4255 2.6169
-6.1185 -3.9464 8.7649
-0.9493 -4.2449 7.2982
-7.0041 -0.4106 4.9241
-1.8349 -0.7091 3.4574
-6.0022 -0.3302 8.4171
-0.8444 -0.6280 6.9536
-7.1438 -4.0265 5.2777
-1.9170 -4.3282 3.7946
0.0562 -6.3396 1.4881
1.1683 -2.6246 4.6515
```

## Properties
E_form in eV per atom: 0.016
SG: No. 38
E in eV per atom: -4.88


## La3SmEr2 (PBE-GGA)

Data for crystalline La3SmEr2 at its relaxed geometry.

Structure (POSCAR):
```
La3SmEr2
1.0
8.6482 -2.9931 -4.2659
5.3334 -7.7611 3.6426
-9.2975 2.5692 -2.9841
La Sm Er
6 2 4
Cartesian
1.4320 -5.3911 0.1870
3.2522 -2.7939 -3.7943
7.0162 -7.3979 -0.1958
6.6975 -3.4939 -4.0619
-2.0134 -4.6911 0.4546
-2.3321 -0.7871 -3.4116
1.2710 -5.3887 -3.4652
3.4131 -2.7963 -0.1422
9.2765 -5.3057 -2.3537
0.3037 -2.5246 -1.7128
4.3805 -5.6604 -1.8946
4.7051 -5.4484 1.7304
```

## Properties
Distance to the lowest polymorph of the same formula in meV/atom: 0
E_form in eV per atom: 0.134
SG: No. 74
E in eV per atom: -4.64